# Er3Tm5In PBE optimized geometry
# Electronic total energy ... -70.506 eV for the cell shown
# Formation energy ... 392.4 meV/atom
data_Er3Tm5In
_symmetry_space_group_name_H-M 'P 1'
_symmetry_Int_Tables_number 1
_cell_length_a 8.163
_cell_length_b 8.163
_cell_length_c 10.006
_cell_angle_alpha 103.69
_cell_angle_beta 103.69
_cell_angle_gamma 87.11
loop_
_symmetry_equiv_pos_as_xyz
'x,y,z'
loop_
_atom_site_label
_atom_site_type_symbol
_atom_site_fract_x
_atom_site_fract_y
_atom_site_fract_z
_atom_site_occupancy
Er1 Er 0.000 0.000 0.000 1
Er2 Er 0.001 0.001 0.316 1
Er3 Er 0.496 0.496 0.828 1
Er4 Er 0.500 0.500 0.500 1
Er5 Er 0.504 0.504 0.172 1
Er6 Er 0.999 0.999 0.684 1
Tm1 Tm 0.059 0.575 0.708 1
Tm2 Tm 0.232 0.768 0.500 1
Tm3 Tm 0.238 0.238 0.558 1
Tm4 Tm 0.250 0.250 0.909 1
Tm5 Tm 0.425 0.941 0.292 1
Tm6 Tm 0.575 0.059 0.708 1
Tm7 Tm 0.750 0.750 0.091 1
Tm8 Tm 0.762 0.762 0.442 1
Tm9 Tm 0.768 0.232 0.500 1
Tm10 Tm 0.941 0.425 0.292 1
In1 In 0.266 0.266 0.233 1
In2 In 0.734 0.734 0.767 1